An optimized crystal structure of KErNiCl6, computed with PBE-GGA.

Its energy relative to the elements, uncorrected is -1.649 eV per atom.

It has space group P312 (No. 149), with a = 6.5686 Å, b = 6.5686 Å, c = 7.0265 Å, α = 90.00°, β = 90.00° and γ = 120.00°. The asymmetric unit holds K at (0.0000, 0.0000, 0.0000), Er at (0.3333, 0.6667, 0.5000), Ni at (0.6667, 0.3333, 0.5000) and Cl at (0.3803, 0.0222, 0.7044).

---

An optimized crystal structure of KErPbCl6, computed with PBE-GGA.

Its energy relative to the elements, uncorrected is -1.874 eV per atom. Its density of states at the Fermi level is 0.00 states/eV/atom.

It has space group P-31c (No. 163), with a = 7.2920 Å, b = 7.2920 Å, c = 13.3662 Å, α = 90.00°, β = 90.00° and γ = 120.00°. The asymmetric unit holds K at (0.0000, 0.0000, 0.0000), Er at (0.3333, 0.6667, 0.2500), Pb at (0.3333, 0.6667, 0.7500) and Cl at (0.0293, 0.3793, 0.1369).

---

An optimized crystal structure of K2RbErCl6, computed with PBE-GGA.

As for the energy above the most stable polymorph in this dataset: 85 meV/atom. Its energy relative to the elements, uncorrected is -2.042 eV per atom. Its density of states at the Fermi level is 0.00 states/eV/atom.

It has space group Fm-3m (No. 225), with a = 11.406 Å, b = 11.406 Å, c = 11.406 Å, α = 90.00°, β = 90.00° and γ = 90.00°. The asymmetric unit holds K at (0.250, 0.250, 0.250), Rb at (0.000, 0.000, 0.000), Er at (0.000, 0.000, 0.500) and Cl at (0.000, 0.000, 0.271).

---

An optimized crystal structure of K2RbErCl6, computed with PBE-GGA.

As for the energy above the most stable polymorph in this dataset: 0 meV/atom. Its energy relative to the elements, uncorrected is -2.127 eV per atom. Its density of states at the Fermi level is 0.00 states/eV/atom.

It has space group R3 (No. 146, hexagonal axes), with a = 7.7587 Å, b = 7.7587 Å, c = 20.2523 Å, α = 90.00°, β = 90.00° and γ = 120.00°. The asymmetric unit holds K at (0.0000, 0.0000, 0.0000), K at (0.0000, 0.0000, 0.4893), Rb at (0.0000, 0.0000, 0.2071), Er at (0.0000, 0.0000, 0.6963), Cl at (0.0296, 0.3990, 0.4323) and Cl at (0.0710, 0.6752, 0.2816).